(1)
Computed, not measured: an optimized crystal structure of CsNaCoRe at the PBE level of DFT.

Unit cell a=5.011 b=5.011 c=5.011 alpha=60.00 beta=60.00 gamma=60.00
Fractional coordinates of all 4 atoms:
Co 0.250 0.250 0.250
Cs 0.000 0.000 0.000
Na 0.750 0.750 0.750
Re 0.500 0.500 0.500



(2)
Computed, not measured: an optimized crystal structure of CsNbCo at the PBE level of DFT.

Unit cell a=4.472 b=4.472 c=4.472 alpha=60.00 beta=60.00 gamma=60.00
Fractional coordinates of all 3 atoms:
Co 0.250 0.250 0.250
Cs 0.000 0.000 0.000
Nb 0.750 0.750 0.750



no.,VASP energy (Ry per atom),volume (Å³/f.u.),total magnetization (μB/f.u.)
1,-0.2648,89,4.5
2,-0.2566,63,0.0